The following is a DFT calculation (PBE) of a geometry-optimized Na3Ga4Ge4 structure.

Cell lengths 4.213, 4.749, 13.098 Å; angles 100.45, 99.25, 90.00 degrees
Element x y z (fractional)
Ga1 0.452 0.452 0.903
Ge1 0.903 0.403 0.806
Na1 0.640 0.140 0.280
Ga2 0.194 0.694 0.388
Na2 0.000 0.000 0.000
Ge2 0.097 0.597 0.194
Na3 0.360 0.860 0.720
Ge3 0.754 0.754 0.509
Ga3 0.806 0.306 0.612
Ga4 0.548 0.548 0.097
Ge4 0.246 0.246 0.491

The following is a DFT calculation (PBE) of a geometry-optimized NaGaGe structure.

Cell lengths 7.499, 4.489, 7.492 Å; angles 90.00, 90.00, 90.00 degrees
Element x y z (fractional)
Na1 0.998 0.750 0.179
Ge1 0.187 0.750 0.596
Na2 0.002 0.250 0.821
Na3 0.498 0.750 0.321
Ga1 0.833 0.750 0.589
Ga2 0.333 0.750 0.911
Na4 0.502 0.250 0.679
Ge2 0.687 0.750 0.904
Ga3 0.667 0.250 0.089
Ge3 0.313 0.250 0.096
Ge4 0.813 0.250 0.404
Ga4 0.167 0.250 0.411

The following is a DFT calculation (PBE) of a geometry-optimized NaGaGe structure.

Cell lengths 4.321, 4.197, 7.490 Å; angles 90.01, 90.01, 90.00 degrees
Element x y z (fractional)
Na1 0.939 0.942 0.966
Ga1 0.940 0.942 0.385
Ge1 0.440 0.942 0.613
Ge2 0.439 0.442 0.836
Na2 0.439 0.441 0.258
Ga2 0.939 0.442 0.617

The following is a DFT calculation (PBE) of a geometry-optimized NaGaGe structure.

Cell lengths 4.220, 4.678, 7.323 Å; angles 90.09, 90.00, 90.00 degrees
Element x y z (fractional)
Ge1 0.273 0.678 0.029
Ga1 0.773 0.679 0.528
Ge2 0.273 0.705 0.362
Na1 0.272 0.192 0.696
Na2 0.772 0.191 0.196
Ga2 0.773 0.704 0.863

The following is a DFT calculation (PBE) of a geometry-optimized NaGaGe structure.

Cell lengths 3.443, 4.560, 4.560 Å; angles 120.00, 90.00, 90.00 degrees
Element x y z (fractional)
Ge1 0.162 0.000 0.000
Na1 0.666 0.333 0.667
Ga1 0.171 0.667 0.333

The following is a DFT calculation (PBE) of a geometry-optimized NaGa3Ge structure.

Cell lengths 6.260, 6.247, 6.280 Å; angles 120.17, 90.00, 90.00 degrees
Element x y z (fractional)
Ga1 0.500 0.000 0.246
Ga2 0.000 0.000 0.246
Na1 0.750 0.506 0.253
Ga3 0.000 0.000 0.754
Ge1 0.750 0.265 0.633
Ga4 0.250 0.271 0.136
Na2 0.250 0.494 0.747
Ge2 0.250 0.735 0.367
Ga5 0.500 0.000 0.754
Ga6 0.750 0.729 0.864

## Properties
Energy above the most stable polymorph in this dataset = 0.16 kJ/mol of atoms

The following is a DFT calculation (PBE) of a geometry-optimized NaGaGe structure.

Cell lengths 7.273, 4.316, 4.316 Å; angles 103.20, 90.00, 90.00 degrees
Element x y z (fractional)
Na1 0.500 0.477 0.523
Ga1 0.871 0.083 0.417
Ge1 0.200 0.961 0.539
Na2 0.500 0.977 0.023
Ga2 0.129 0.583 0.917
Ge2 0.800 0.461 0.039

The following is a DFT calculation (PBE) of a geometry-optimized Na2Ga2Ge3 structure.

Cell lengths 4.139, 5.962, 7.175 Å; angles 113.86, 90.00, 110.31 degrees
Element x y z (fractional)
Ge1 0.405 0.810 0.554
Ga1 0.156 0.311 0.270
Ga2 0.844 0.689 0.730
Ge2 0.595 0.190 0.446
Na1 0.852 0.704 0.196
Na2 0.148 0.296 0.804
Ge3 0.500 0.000 0.000

For reference, calculated volume by record: 23.11, 21.01, 22.64, 24.09, 20.67, 21.23, 21.99, 21.40 A^3/atom.
For reference, total magnetization by record: 0.000, 0.000, 0.000, 0.000, 0.000, 0.000, 0.000, 0.000 μB/f.u..
For reference, DFT formation energy by record: -0.10, -0.14, -0.07, -0.08, -0.05, -0.12, 0.08, -0.06 eV per atom.